Record 1
# Mg3Bi3Rh

Crystalline Mg3Bi3Rh at its relaxed geometry (PBE-GGA, Alexandria).

a b c (Å): 12.2897 12.2897 3.8087
angles (deg): 90.00 90.00 120.00
Last column: nearest neighbours and their distance in Å.
Fractional coordinates of all 14 atoms:
Mg 0.0929 0.6160 0.2500  1 Rh 2.70, 1 Bi 3.01
Mg 0.3840 0.4769 0.2500  1 Rh 2.70, 1 Bi 3.01
Mg 0.4769 0.0929 0.7500  1 Rh 2.70, 1 Bi 3.01
Mg 0.5231 0.9071 0.2500  1 Rh 2.70, 1 Bi 3.01
Mg 0.6160 0.5231 0.7500  1 Rh 2.70, 1 Bi 3.01
Mg 0.9071 0.3840 0.7500  1 Rh 2.70, 1 Bi 3.01
Bi 0.1832 0.4683 0.7500  2 Rh 2.91, 5 Mg 3.01-3.19
Bi 0.2851 0.8168 0.7500  2 Rh 2.91, 5 Mg 3.01-3.19
Bi 0.4683 0.2851 0.2500  2 Rh 2.91, 5 Mg 3.01-3.19
Bi 0.5317 0.7149 0.7500  2 Rh 2.91, 5 Mg 3.01-3.19
Bi 0.7149 0.1832 0.2500  2 Rh 2.91, 5 Mg 3.01-3.19
Bi 0.8168 0.5317 0.2500  2 Rh 2.91, 5 Mg 3.01-3.19
Rh 0.3333 0.6667 0.2500  3 Mg 2.70, 6 Bi 2.91
Rh 0.6667 0.3333 0.7500  3 Mg 2.70, 6 Bi 2.91

Computed properties:
Calculated density (Mg/m³): 5.352
Uncorrected energy (Ry per atom): -0.2605
Fermi-level density of states (states/eV/f.u.): 2.6
Crystal system: hexagonal



Record 2
# Ac6Sb5As

Crystalline Ac6Sb5As at its relaxed geometry (PBE-GGA, Alexandria).

a b c (Å): 8.2476 8.2476 8.2451
angles (deg): 99.61 99.61 119.98
Last column: nearest neighbours and their distance in Å.
Fractional coordinates of all 12 atoms:
Ac 0.0815 0.4059 0.7448  1 As 3.28, 5 Sb 3.36-3.42
Ac 0.2422 0.2422 0.2542  1 As 3.29, 5 Sb 3.38-3.45
Ac 0.4059 0.0815 0.7448  1 As 3.28, 5 Sb 3.36-3.42
Ac 0.5941 0.9185 0.2552  1 As 3.28, 5 Sb 3.36-3.42
Ac 0.7578 0.7578 0.7458  1 As 3.29, 5 Sb 3.38-3.45
Ac 0.9185 0.5941 0.2552  1 As 3.28, 5 Sb 3.36-3.42
Sb 0.1694 0.8306 0.0000  6 Ac 3.36-3.42
Sb 0.3337 0.6663 0.5000  6 Ac 3.38
Sb 0.5000 0.5000 0.0000  6 Ac 3.36-3.45
Sb 0.6663 0.3337 0.5000  6 Ac 3.38
Sb 0.8306 0.1694 0.0000  6 Ac 3.36-3.42
As 0.0000 0.0000 0.5000  6 Ac 3.28-3.29

Computed properties:
Calculated density (Mg/m³): 7.418
Formation energy without anion corrections (kcal/mol of atoms): -28.91
Fermi-level density of states (states/eV/f.u.): 0.6
Crystal system: monoclinic



Record 3
# Pm3Ho2Sn4

Crystalline Pm3Ho2Sn4 at its relaxed geometry (PBE-GGA, Alexandria).

a b c (Å): 6.2170 6.2170 9.9747
angles (deg): 95.35 95.35 45.80
Last column: nearest neighbours and their distance in Å.
Fractional coordinates of all 9 atoms:
Pm 0.0000 0.0000 0.0000  4 Sn 3.14
Pm 0.3726 0.3726 0.5879  6 Sn 3.10-3.42
Pm 0.6274 0.6274 0.4121  6 Sn 3.10-3.42
Ho 0.3200 0.3200 0.1986  5 Sn 3.09-3.13
Ho 0.6800 0.6800 0.8014  5 Sn 3.09-3.13
Sn 0.0839 0.0839 0.6306  1 Sn 3.08, 2 Ho 3.10, 5 Pm 3.33-3.42
Sn 0.3424 0.3424 0.8928  3 Ho 3.09-3.13, 3 Pm 3.10-3.14
Sn 0.6576 0.6576 0.1072  3 Ho 3.09-3.13, 3 Pm 3.10-3.14
Sn 0.9161 0.9161 0.3694  1 Sn 3.08, 2 Ho 3.10, 5 Pm 3.33-3.42

Computed properties:
Calculated density (Mg/m³): 7.486
Uncorrected energy (Ry per atom): -0.3658
Fermi-level density of states (states/eV/f.u.): 6.5
Crystal system: monoclinic



Record 4
# GaSi3P

Crystalline GaSi3P at its relaxed geometry (PBE-GGA, Alexandria).

a b c (Å): 4.5728 4.5728 4.5728
angles (deg): 90.00 90.00 90.00
Last column: nearest neighbours and their distance in Å.
Fractional coordinates of all 5 atoms:
Ga 0.0000 0.0000 0.0000  12 Si 3.23
Si 0.0000 0.5000 0.5000  2 P 2.29
Si 0.5000 0.0000 0.5000  2 P 2.29
Si 0.5000 0.5000 0.0000  2 P 2.29
P 0.5000 0.5000 0.5000  6 Si 2.29

Computed properties:
Calculated density (Mg/m³): 3.212
Formation energy without anion corrections (kcal/mol of atoms): 17.92
Fermi-level density of states (states/eV/f.u.): 2.1
Crystal system: cubic
Energy above the most stable polymorph in this dataset (meV per atom): 0



Record 5
# PtCl6

Crystalline PtCl6 at its relaxed geometry (PBE-GGA, Alexandria).

a b c (Å): 8.5581 10.4158 8.1896
angles (deg): 90.00 90.00 90.00
Last column: nearest neighbours and their distance in Å.
Fractional coordinates of all 28 atoms:
Pt 0.1502 0.2500 0.0364  6 Cl 2.29-2.42
Pt 0.3498 0.7500 0.5364  6 Cl 2.29-2.42
Pt 0.6502 0.2500 0.4636  6 Cl 2.29-2.42
Pt 0.8498 0.7500 0.9636  6 Cl 2.29-2.42
Cl 0.0537 0.5907 0.9337  1 Cl 2.37, 1 Pt 2.42
Cl 0.0537 0.9093 0.9337  1 Cl 2.37, 1 Pt 2.42
Cl 0.1020 0.2500 0.7595  1 Pt 2.31
Cl 0.1634 0.5941 0.5046  1 Pt 2.29
Cl 0.1634 0.9059 0.5046  1 Pt 2.29
Cl 0.1963 0.2500 0.3218  1 Pt 2.37
Cl 0.3037 0.7500 0.8218  1 Pt 2.37
Cl 0.3366 0.0941 0.0046  1 Pt 2.29
Cl 0.3366 0.4059 0.0046  1 Pt 2.29
Cl 0.3980 0.7500 0.2595  1 Pt 2.31
Cl 0.4463 0.0907 0.4337  1 Cl 2.37, 1 Pt 2.42
Cl 0.4463 0.4093 0.4337  1 Cl 2.37, 1 Pt 2.42
Cl 0.5537 0.5907 0.5663  1 Cl 2.37, 1 Pt 2.42
Cl 0.5537 0.9093 0.5663  1 Cl 2.37, 1 Pt 2.42
Cl 0.6020 0.2500 0.7405  1 Pt 2.31
Cl 0.6634 0.5941 0.9954  1 Pt 2.29
Cl 0.6634 0.9059 0.9954  1 Pt 2.29
Cl 0.6963 0.2500 0.1782  1 Pt 2.37
Cl 0.8037 0.7500 0.6782  1 Pt 2.37
Cl 0.8366 0.0941 0.4954  1 Pt 2.29
Cl 0.8366 0.4059 0.4954  1 Pt 2.29
Cl 0.8980 0.7500 0.2405  1 Pt 2.31
Cl 0.9463 0.0907 0.0663  1 Cl 2.37, 1 Pt 2.42
Cl 0.9463 0.4093 0.0663  1 Cl 2.37, 1 Pt 2.42

Computed properties:
Calculated density (Mg/m³): 3.710
Formation energy without anion corrections (kcal/mol of atoms): -3.52
Crystal system: orthorhombic



Record 6
# CsSbSeI2

Crystalline CsSbSeI2 at its relaxed geometry (PBE-GGA, Alexandria).

a b c (Å): 6.2808 6.2808 5.3719
angles (deg): 90.00 90.00 90.00
Last column: nearest neighbours and their distance in Å.
Fractional coordinates of all 5 atoms:
Cs 0.0000 0.0000 0.0000  8 I 4.13, 4 Se 4.44
Sb 0.5000 0.5000 0.5000  2 Se 2.69
Se 0.5000 0.5000 0.0000  2 Sb 2.69
I 0.0000 0.5000 0.5000  2 Sb 3.14
I 0.5000 0.0000 0.5000  2 Sb 3.14

Computed properties:
Calculated density (Mg/m³): 4.603
Formation energy without anion corrections (kcal/mol of atoms): -15.24
Fermi-level density of states (states/eV/f.u.): 1.3
Crystal system: tetragonal
Energy above the most stable polymorph in this dataset (meV per atom): 0



Record 7
# PuTlCdO6

Crystalline PuTlCdO6 at its relaxed geometry (PBE-GGA, Alexandria).

a b c (Å): 5.6147 5.6147 9.7369
angles (deg): 90.00 90.00 120.00
Last column: nearest neighbours and their distance in Å.
Fractional coordinates of all 18 atoms:
Pu 0.3333 0.6667 0.2500  6 O 2.03
Pu 0.6667 0.3333 0.7500  6 O 2.03
Tl 0.3333 0.6667 0.7500  6 O 2.30
Tl 0.6667 0.3333 0.2500  6 O 2.30
Cd 0.0000 0.0000 0.0000  6 O 2.35
Cd 0.0000 0.0000 0.5000  6 O 2.35
O 0.0365 0.3662 0.1321  1 Pu 2.03
O 0.0365 0.6703 0.3679  1 Pu 2.03
O 0.3297 0.3662 0.3679  1 Pu 2.03
O 0.3297 0.9635 0.1321  1 Pu 2.03
O 0.3662 0.0365 0.6321  1 Pu 2.03
O 0.3662 0.3297 0.8679  1 Pu 2.03
O 0.6338 0.6703 0.1321  1 Pu 2.03
O 0.6338 0.9635 0.3679  1 Pu 2.03
O 0.6703 0.0365 0.8679  1 Pu 2.03
O 0.6703 0.6338 0.6321  1 Pu 2.03
O 0.9635 0.3297 0.6321  1 Pu 2.03
O 0.9635 0.6338 0.8679  1 Pu 2.03

Computed properties:
Calculated density (Mg/m³): 8.205
Formation energy without anion corrections (kcal/mol of atoms): -33.49
Fermi-level density of states (states/eV/f.u.): 0.3
Crystal system: trigonal



Record 8
# TcSb2SeI

Crystalline TcSb2SeI at its relaxed geometry (PBE-GGA, Alexandria).

a b c (Å): 5.1607 5.1607 5.3256
angles (deg): 90.00 90.00 90.00
Last column: nearest neighbours and their distance in Å.
Fractional coordinates of all 5 atoms:
Tc 0.0000 0.0000 0.0000  4 Sb 2.58, 2 I 2.66
Sb 0.0000 0.5000 0.0000  2 Tc 2.58
Sb 0.5000 0.0000 0.0000  2 Tc 2.58
Se 0.5000 0.5000 0.5000  4 I 3.65, 8 Sb 3.71
I 0.0000 0.0000 0.5000  2 Tc 2.66

Computed properties:
Calculated density (Mg/m³): 6.409
Formation energy without anion corrections (kcal/mol of atoms): 12.26
Fermi-level density of states (states/eV/f.u.): 6.2
Crystal system: tetragonal
Energy above the most stable polymorph in this dataset (meV per atom): 279



Record 9
# Ga2AgPt

Crystalline Ga2AgPt at its relaxed geometry (PBE-GGA, Alexandria).

a b c (Å): 10.3781 10.3781 10.3781
angles (deg): 15.60 15.60 15.60
Last column: nearest neighbours and their distance in Å.
Fractional coordinates of all 4 atoms:
Ga 0.0833 0.0833 0.0833  1 Pt 2.56, 6 Ga 2.82
Ga 0.9167 0.9167 0.9167  1 Pt 2.56, 6 Ga 2.82
Ag 0.5000 0.5000 0.5000  6 Ag 2.82, 6 Ga 3.04
Pt 0.0000 0.0000 0.0000  2 Ga 2.56, 6 Pt 2.82

Computed properties:
Calculated density (Mg/m³): 10.427
Fermi-level density of states (states/eV/f.u.): 1.1
Crystal system: trigonal
Energy above the most stable polymorph in this dataset (meV per atom): 274



Record 10
# LiNdAu

Crystalline LiNdAu at its relaxed geometry (PBE-GGA, Alexandria).

a b c (Å): 9.0758 9.0743 4.0645
angles (deg): 77.08 77.04 25.88
Last column: nearest neighbours and their distance in Å.
Fractional coordinates of all 6 atoms:
Li 0.0000 0.0000 0.5000  4 Au 2.83, 4 Li 2.87-2.88
Li 0.5000 0.5000 0.0000  4 Au 2.83, 4 Li 2.87-2.88
Nd 0.1754 0.1754 0.8246  4 Au 3.06
Nd 0.8246 0.8246 0.1754  4 Au 3.06
Au 0.3852 0.3852 0.6148  4 Li 2.83, 4 Nd 3.06
Au 0.6148 0.6148 0.3852  4 Li 2.83, 4 Nd 3.06

Computed properties:
Calculated density (Mg/m³): 8.131
Fermi-level density of states (states/eV/f.u.): 2.3
Crystal system: orthorhombic
Energy above the most stable polymorph in this dataset (meV per atom): 0



Record 11
# AlPt4S8

Crystalline AlPt4S8 at its relaxed geometry (PBE-GGA, Alexandria).

a b c (Å): 7.0132 7.0132 7.0132
angles (deg): 61.90 61.90 61.90
Last column: nearest neighbours and their distance in Å.
Fractional coordinates of all 13 atoms:
Al 0.0000 0.0000 0.0000  6 S 2.49
Pt 0.0000 0.0000 0.5000  6 S 2.40-2.43
Pt 0.0000 0.5000 0.0000  6 S 2.40-2.43
Pt 0.5000 0.0000 0.0000  6 S 2.40-2.43
Pt 0.5000 0.5000 0.5000  6 S 2.55
S 0.2233 0.7522 0.7522  3 Pt 2.40-2.55, 1 Al 2.49
S 0.2401 0.2401 0.2401  3 Pt 2.43
S 0.2478 0.2478 0.7767  3 Pt 2.40-2.55, 1 Al 2.49
S 0.2478 0.7767 0.2478  3 Pt 2.40-2.55, 1 Al 2.49
S 0.7522 0.2233 0.7522  3 Pt 2.40-2.55, 1 Al 2.49
S 0.7522 0.7522 0.2233  3 Pt 2.40-2.55, 1 Al 2.49
S 0.7599 0.7599 0.7599  3 Pt 2.43
S 0.7767 0.2478 0.2478  3 Pt 2.40-2.55, 1 Al 2.49

Computed properties:
Calculated density (Mg/m³): 6.947
Formation energy without anion corrections (kcal/mol of atoms): -7.90
Fermi-level density of states (states/eV/f.u.): 4.4
Crystal system: trigonal



Record 12
# Nb2VRhN

Crystalline Nb2VRhN at its relaxed geometry (PBE-GGA, Alexandria).

a b c (Å): 4.2813 4.2813 3.8580
angles (deg): 90.00 90.00 90.00
Last column: nearest neighbours and their distance in Å.
Fractional coordinates of all 5 atoms:
Nb 0.0000 0.5000 0.0000  2 N 2.14
Nb 0.5000 0.0000 0.0000  2 N 2.14
V 0.0000 0.0000 0.5000  2 N 1.93
Rh 0.5000 0.5000 0.5000  8 Nb 2.88, 4 V 3.03
N 0.0000 0.0000 0.0000  2 V 1.93, 4 Nb 2.14

Computed properties:
Calculated density (Mg/m³): 8.305
Formation energy without anion corrections (kcal/mol of atoms): -14.11
Fermi-level density of states (states/eV/f.u.): 4.1
Crystal system: tetragonal



Which of these has the highest calculated density?
Ga2AgPt



Which formula does entry 10 have?
LiNdAu